[1]
This record from Alexandria describes a relaxed structure of DyYPaO6. The functional is PBE.

Cell lengths 4.678, 5.794, 5.794 Å; angles 120.00, 90.00, 90.00 degrees
Site moments in Bohr magnetons follow the coordinates.
Atoms (fractional coordinates):
1 O 0.745 0.333 0.985  0.07
2 O 0.255 0.333 0.348  0.07
3 O 0.745 0.652 0.667  0.07
4 Pa 0.000 0.333 0.667  -0.01
5 O 0.745 0.015 0.348  0.07
6 Dy 0.500 0.000 0.000  0.00
7 O 0.255 0.015 0.667  0.07
8 Y 0.500 0.667 0.333  -0.01
9 O 0.255 0.652 0.985  0.07

Computed properties:
- density of states at the Fermi level (states/eV per atom) = 1.015
- E_tot (eV per atom) = -8.80
- symmetry = No. 149


[2]
This record from Alexandria describes a relaxed structure of DyZrPaO6. The functional is PBE.

Cell lengths 5.618, 5.618, 9.486 Å; angles 90.00, 90.00, 120.00 degrees
Atoms (fractional coordinates):
1 Zr 0.333 0.667 0.750
2 O 0.662 0.979 0.870
3 O 0.338 0.021 0.130
4 Pa 0.000 0.000 0.000
5 O 0.979 0.662 0.370
6 Dy 0.333 0.667 0.250
7 O 0.662 0.682 0.630
8 O 0.338 0.318 0.370
9 O 0.682 0.662 0.130
10 O 0.021 0.338 0.630
11 Dy 0.667 0.333 0.750
12 Zr 0.667 0.333 0.250
13 O 0.021 0.682 0.870
14 O 0.979 0.318 0.130
15 O 0.682 0.021 0.370
16 Pa 0.000 0.000 0.500
17 O 0.318 0.338 0.870
18 O 0.318 0.979 0.630

Computed properties:
- density of states at the Fermi level (states/eV per atom) = 0.000
- E_tot (eV per atom) = -9.26
- symmetry = No. 163


[3]
This record from Alexandria describes a relaxed structure of Dy3PbO6. The functional is PBE.

Cell lengths 6.812, 6.812, 6.812 Å; angles 92.57, 92.57, 92.57 degrees
Atoms (fractional coordinates):
1 O 0.068 0.341 0.882
2 Dy 0.068 0.251 0.559
3 Dy 0.441 0.932 0.749
4 Dy 0.932 0.749 0.441
5 O 0.118 0.932 0.659
6 O 0.526 0.404 0.189
7 O 0.811 0.474 0.596
8 O 0.189 0.526 0.404
9 Dy 0.251 0.559 0.068
10 O 0.882 0.068 0.341
11 Pb 0.500 0.500 0.500
12 O 0.404 0.189 0.526
13 Dy 0.559 0.068 0.251
14 Pb 0.000 0.000 0.000
15 O 0.341 0.882 0.068
16 Dy 0.749 0.441 0.932
17 O 0.474 0.596 0.811
18 O 0.932 0.659 0.118
19 O 0.596 0.811 0.474
20 O 0.659 0.118 0.932

Computed properties:
- E_tot (eV per atom) = -7.62
- symmetry = No. 148